Density functional theory data (PBE) for crystalline K4Sm3TaS8 at its relaxed geometry.

extended XYZ file:
```
16
Lattice="-0.4845 2.2380 7.6936 -5.4456 -6.6382 1.5881 7.1352 -1.7702 -3.2233" Properties=species:S:1:pos:R:3 pbc="T T T"
K -0.2422 1.1190 3.8468
K 3.3254 0.2339 2.2351
K 0.0000 0.0000 0.0000
K 3.5676 -0.8851 -1.6116
Sm -2.9651 -2.2001 4.6408
Sm 0.6026 -3.0852 3.0292
Sm 0.8448 -4.2042 -0.8176
Ta -2.7228 -3.3191 0.7940
S 3.0694 -5.8809 -0.3483
S -0.7682 -4.9289 1.3854
S 2.0518 -2.2609 0.7869
S 2.8088 -4.6772 3.7898
S -1.6037 -1.4932 2.2686
S -0.8467 -3.9095 5.2715
S 1.9734 -1.2415 4.6730
S -1.8642 -0.2895 6.4067
```

Computed properties:
The density of states at the Fermi level is 5.6 states/eV/f.u. For the formation energy from raw total energies, the calculation gives -1.59 eV/atom. The value obtained for the density is 4.2 g/cm³.